Computed, not measured: an optimized crystal structure of NbO2F at the PBE level of DFT.

Computed properties:
Density ... 3.72 g/cm3
Fermi-level density of states ... 0.00 states/eV/f.u.
ΔE_f (raw) ... -2.734 eV per atom

Lattice parameters (Å, degrees): 5.6377 5.6976 5.6377 120.32 60.94 120.32
Last column: nearest neighbours and their distance in Å.
Fractional coordinates of all 8 atoms:
O 0.4773 0.9062 0.9706  2 Nb 1.91
O 0.4706 0.4062 0.9773  2 Nb 1.91
O 0.9788 0.4079 0.9644  1 Nb 1.84
O 0.4644 0.9079 0.4788  1 Nb 1.84
Nb 0.6756 0.1393 0.7334  3 O 1.84-1.91
Nb 0.2334 0.6393 0.1756  3 O 1.84-1.91
F 0.9744 0.9104 0.4679  2 Nb 2.14-2.15
F 0.9679 0.4104 0.4744  2 Nb 2.14-2.15



Computed, not measured: an optimized crystal structure of TaRhW2 at the PBE level of DFT.

Computed properties:
Density ... 16.61 g/cm3
Fermi-level density of states ... 3.61 states/eV/f.u.
Energy above the lowest structure with this stoichiometry ... 0.649 eV/f.u.
Formation energy ... 0.26 eV per formula unit

Lattice parameters (Å, degrees): 4.9171 4.9171 5.0500 81.97 81.97 32.64
Last column: nearest neighbours and their distance in Å.
Fractional coordinates of all 4 atoms:
Rh 0.4948 0.4948 0.4834  2 Rh 2.76, 3 Ta 2.77, 7 W 2.80-3.06
W 0.0048 0.0048 0.9811  5 W 2.69-2.86, 1 Ta 2.83, 4 Rh 2.88
W 0.7611 0.7611 0.7627  5 W 2.69-2.86, 2 Rh 2.80, 4 Ta 2.87-2.90
Ta 0.2393 0.2393 0.2729  2 Ta 2.76, 3 Rh 2.77, 7 W 2.83-3.05



Short version: magnetic moment = 0.0 0.0 Bohr magnetons per cell, in the order given.